! KAg3 PBE-GGA relaxed; values from VASP
! Space group   Pmmn
! Calculated density   5272 kg/m3
! Energy relative to the elements   0.043 eV per atom
&SYSTEM
  ibrav = 0, nat = 8, ntyp = 2
/
ATOMIC_SPECIES
K 39.10 K.upf
Ag 107.87 Ag.upf
CELL_PARAMETERS angstrom
4.723 0.000 0.000
0.000 7.664 0.000
0.000 0.000 6.312
ATOMIC_POSITIONS angstrom
K 1.181 1.916 0.732
K 3.542 5.748 5.580
Ag 1.181 0.462 3.788
Ag 1.181 3.370 3.788
Ag 1.181 5.748 2.190
Ag 3.542 1.916 4.122
Ag 3.542 4.294 2.524
Ag 3.542 7.202 2.524

! KAg2 PBE-GGA relaxed; values from VASP
! Space group   P6/mmm
! Calculated density   4610 kg/m3
! Energy relative to the elements   0.087 eV per atom
&SYSTEM
  ibrav = 0, nat = 3, ntyp = 2
/
ATOMIC_SPECIES
K 39.10 K.upf
Ag 107.87 Ag.upf
CELL_PARAMETERS angstrom
4.814 0.000 0.000
-2.407 4.169 0.000
0.000 0.000 4.574
ATOMIC_POSITIONS angstrom
K 0.000 0.000 0.000
Ag 0.000 2.779 2.287
Ag 2.407 1.390 2.287

! K2Ag PBE-GGA relaxed; values from VASP
! Space group   I4_1/amd
! Calculated density   2180 kg/m3
! Energy relative to the elements   0.061 eV per atom
&SYSTEM
  ibrav = 0, nat = 6, ntyp = 2
/
ATOMIC_SPECIES
K 39.10 K.upf
Ag 107.87 Ag.upf
CELL_PARAMETERS angstrom
-2.086 2.086 16.296
2.086 -2.086 16.296
2.086 2.086 -16.296
ATOMIC_POSITIONS angstrom
K 2.086 1.043 2.093
K 2.086 1.043 6.055
K 0.000 1.043 10.241
K 0.000 1.043 14.203
Ag 2.086 -1.043 12.222
Ag 0.000 3.128 4.074

! K2Ag PBE-GGA relaxed; values from VASP
! Space group   P-1
! Calculated density   2147 kg/m3
! Energy relative to the elements   0.007 eV per atom
&SYSTEM
  ibrav = 0, nat = 6, ntyp = 2
/
ATOMIC_SPECIES
K 39.10 K.upf
Ag 107.87 Ag.upf
CELL_PARAMETERS angstrom
4.808 0.000 0.000
0.011 6.921 0.000
2.329 1.818 8.651
ATOMIC_POSITIONS angstrom
K 1.206 2.610 2.825
K 3.537 2.681 7.148
K 3.610 6.058 1.503
K 5.941 6.128 5.826
Ag 3.536 6.004 8.390
Ag 3.611 2.734 0.261

! K4Ag PBE-GGA relaxed; values from VASP
! Space group   Im-3m
! Energy above the most stable polymorph in this dataset   0.20 eV per formula unit
! Calculated density   1530 kg/m3
! Energy relative to the elements   0.071 eV per atom
&SYSTEM
  ibrav = 0, nat = 5, ntyp = 2
/
ATOMIC_SPECIES
K 39.10 K.upf
Ag 107.87 Ag.upf
CELL_PARAMETERS angstrom
-4.154 4.154 4.154
4.154 -4.154 4.154
4.154 4.154 -4.154
ATOMIC_POSITIONS angstrom
K 2.077 2.077 -2.077
K 2.077 -2.077 2.077
K -2.077 2.077 2.077
K 2.077 2.077 2.077
Ag 0.000 0.000 0.000

! K2Ag PBE-GGA relaxed; values from VASP
! Space group   Fm-3m
! Calculated density   2163 kg/m3
! Energy relative to the elements   0.078 eV per atom
&SYSTEM
  ibrav = 0, nat = 3, ntyp = 2
/
ATOMIC_SPECIES
K 39.10 K.upf
Ag 107.87 Ag.upf
CELL_PARAMETERS angstrom
0.000 4.149 4.149
4.149 0.000 4.149
4.149 4.149 0.000
ATOMIC_POSITIONS angstrom
K 2.074 2.074 2.074
K 6.223 6.223 6.223
Ag 0.000 0.000 0.000